(1)
! NaSc3Si GGA-PBEsol optimized geometry; values from VASP
! Theoretical density (g/cm3): 2.6
! Formation energy without anion corrections (meV per atom): 1085
! DFT total energy (eV per atom): -4.3073
&SYSTEM
  ibrav = 0, nat = 5, ntyp = 3
/
ATOMIC_SPECIES
Sc 44.96 Sc.upf
Na 22.99 Na.upf
Si 28.09 Si.upf
CELL_PARAMETERS angstrom
4.904 0.000 0.000
0.000 4.904 0.000
0.000 0.000 4.904
ATOMIC_POSITIONS crystal
Sc 0.000 0.500 0.000
Sc 0.500 0.000 0.000
Sc 0.000 0.000 0.500
Na 0.000 0.000 0.000
Si 0.500 0.500 0.500

=====

(2)
! Na2Sc2Si GGA-PBEsol optimized geometry; values from VASP
! Theoretical density (g/cm3): 2.1
! Formation energy without anion corrections (meV per atom): 720
! DFT total energy (eV per atom): -3.6317
&SYSTEM
  ibrav = 0, nat = 5, ntyp = 3
/
ATOMIC_SPECIES
Na 22.99 Na.upf
Sc 44.96 Sc.upf
Si 28.09 Si.upf
CELL_PARAMETERS angstrom
-3.105 -2.507 -0.061
2.467 -3.036 -0.793
1.248 1.426 8.466
ATOMIC_POSITIONS crystal
Na 0.416 0.416 0.832
Na 0.584 0.584 0.168
Sc 0.250 0.750 0.500
Sc 0.750 0.250 0.500
Si 0.000 0.000 0.000

=====

(3)
! NaSr2ScSi GGA-PBEsol optimized geometry; values from VASP
! Theoretical density (g/cm3): 2.7
! Formation energy without anion corrections (meV per atom): 698
! DFT total energy (eV per atom): -2.7885
&SYSTEM
  ibrav = 0, nat = 5, ntyp = 4
/
ATOMIC_SPECIES
Na 22.99 Na.upf
Si 28.09 Si.upf
Sr 87.62 Sr.upf
Sc 44.96 Sc.upf
CELL_PARAMETERS angstrom
4.985 0.000 0.000
0.000 5.799 0.000
0.000 0.000 5.799
ATOMIC_POSITIONS crystal
Na 0.000 0.000 0.000
Si 0.500 0.000 0.000
Sr 0.000 0.000 0.500
Sr 0.000 0.500 0.000
Sc 0.500 0.500 0.500

=====

(4)
! NaSc3Sn GGA-PBEsol optimized geometry; values from VASP
! Theoretical density (g/cm3): 3.7
! DFT total energy (eV per atom): -4.3308
&SYSTEM
  ibrav = 0, nat = 5, ntyp = 3
/
ATOMIC_SPECIES
Sc 44.96 Sc.upf
Sn 118.71 Sn.upf
Na 22.99 Na.upf
CELL_PARAMETERS angstrom
-3.252 2.613 -2.760
1.074 -2.853 -3.966
-3.646 -3.170 1.294
ATOMIC_POSITIONS crystal
Sc 0.000 0.500 0.000
Sc 0.500 0.000 0.000
Sc 0.000 0.000 0.500
Sn 0.500 0.500 0.500
Na 0.000 0.000 0.000

=====

(5)
! NaSc2Sn2 GGA-PBEsol optimized geometry; values from VASP
! Theoretical density (g/cm3): 4.8
! DFT total energy (eV per atom): -5.0982
&SYSTEM
  ibrav = 0, nat = 10, ntyp = 3
/
ATOMIC_SPECIES
Sn 118.71 Sn.upf
Sc 44.96 Sc.upf
Na 22.99 Na.upf
CELL_PARAMETERS angstrom
-1.663 1.479 2.318
6.062 -2.259 5.792
4.296 7.370 -1.621
ATOMIC_POSITIONS crystal
Sn 0.000 0.165 0.335
Sn 0.000 0.665 0.165
Sn 0.000 0.335 0.835
Sn 0.000 0.835 0.665
Sc 0.500 0.868 0.368
Sc 0.500 0.368 0.132
Sc 0.500 0.632 0.868
Sc 0.500 0.132 0.632
Na 0.000 0.000 0.000
Na 0.000 0.500 0.500

=====

(6)
! Na3SrSc GGA-PBEsol optimized geometry; values from VASP
! Theoretical density (g/cm3): 1.5
! DFT total energy (eV per atom): -1.4888
&SYSTEM
  ibrav = 0, nat = 5, ntyp = 3
/
ATOMIC_SPECIES
Na 22.99 Na.upf
Sr 87.62 Sr.upf
Sc 44.96 Sc.upf
CELL_PARAMETERS angstrom
6.022 0.000 0.000
0.000 6.022 0.000
0.000 0.000 6.022
ATOMIC_POSITIONS crystal
Na 0.000 0.000 0.500
Na 0.500 0.000 0.000
Na 0.000 0.500 0.000
Sr 0.000 0.000 0.000
Sc 0.500 0.500 0.500

=====

(7)
! Na2Sc2Ta GGA-PBEsol optimized geometry; values from VASP
! Theoretical density (g/cm3): 4.4
! DFT total energy (eV per atom): -5.0689
&SYSTEM
  ibrav = 0, nat = 5, ntyp = 3
/
ATOMIC_SPECIES
Na 22.99 Na.upf
Ta 180.95 Ta.upf
Sc 44.96 Sc.upf
CELL_PARAMETERS angstrom
-0.124 -3.085 1.912
3.539 -0.526 -0.620
0.301 6.407 6.909
ATOMIC_POSITIONS crystal
Na 0.250 0.750 0.500
Na 0.750 0.250 0.500
Ta 0.000 0.000 0.000
Sc 0.416 0.416 0.833
Sc 0.584 0.584 0.167

=====

(8)
! NaScTa3 GGA-PBEsol optimized geometry; values from VASP
! Theoretical density (g/cm3): 9.1
! DFT total energy (eV per atom): -7.0988
&SYSTEM
  ibrav = 0, nat = 5, ntyp = 3
/
ATOMIC_SPECIES
Ta 180.95 Ta.upf
Na 22.99 Na.upf
Sc 44.96 Sc.upf
CELL_PARAMETERS angstrom
4.818 0.000 0.000
0.000 4.818 0.000
0.000 0.000 4.818
ATOMIC_POSITIONS crystal
Ta 0.000 0.000 0.500
Ta 0.000 0.500 0.000
Ta 0.500 0.000 0.000
Na 0.500 0.500 0.500
Sc 0.000 0.000 0.000

=====

(9)
! Na2ZrScTc GGA-PBEsol optimized geometry; values from VASP
! Theoretical density (g/cm3): 3.5
! DFT total energy (eV per atom): -4.8422
&SYSTEM
  ibrav = 0, nat = 5, ntyp = 4
/
ATOMIC_SPECIES
Zr 91.22 Zr.upf
Tc 98.00 Tc.upf
Na 22.99 Na.upf
Sc 44.96 Sc.upf
CELL_PARAMETERS angstrom
-2.252 2.002 3.584
-3.787 -3.697 -0.314
2.696 -3.050 3.397
ATOMIC_POSITIONS crystal
Zr 0.500 0.000 0.000
Tc 0.000 0.000 0.000
Na 0.000 0.500 0.000
Na 0.000 0.000 0.500
Sc 0.500 0.500 0.500

=====

(10)
! NaScTe3 GGA-PBEsol optimized geometry; values from VASP
! Theoretical density (g/cm3): 4.4
! Formation energy without anion corrections (meV per atom): -574
! DFT total energy (eV per atom): -4.2905
&SYSTEM
  ibrav = 0, nat = 5, ntyp = 3
/
ATOMIC_SPECIES
Te 127.60 Te.upf
Na 22.99 Na.upf
Sc 44.96 Sc.upf
CELL_PARAMETERS angstrom
-2.595 -1.199 -4.745
-1.466 -4.933 2.048
-4.669 2.215 1.994
ATOMIC_POSITIONS crystal
Te 0.000 0.500 0.000
Te 0.000 0.000 0.500
Te 0.500 0.000 0.000
Na 0.500 0.500 0.500
Sc 0.000 0.000 0.000

=====

(11)
! Na3ScTi GGA-PBEsol optimized geometry; values from VASP
! Theoretical density (g/cm3): 1.5
! DFT total energy (eV per atom): -2.2992
&SYSTEM
  ibrav = 0, nat = 5, ntyp = 3
/
ATOMIC_SPECIES
Sc 44.96 Sc.upf
Na 22.99 Na.upf
Ti 47.87 Ti.upf
CELL_PARAMETERS angstrom
5.596 0.000 0.000
0.000 5.596 0.000
0.000 0.000 5.596
ATOMIC_POSITIONS crystal
Sc 0.000 0.000 0.000
Na 0.000 0.500 0.000
Na 0.500 0.000 0.000
Na 0.000 0.000 0.500
Ti 0.500 0.500 0.500

=====

(12)
! NaSc2Tl2 GGA-PBEsol optimized geometry; values from VASP
! Theoretical density (g/cm3): 7.0
! DFT total energy (eV per atom): -4.1716
&SYSTEM
  ibrav = 0, nat = 10, ntyp = 3
/
ATOMIC_SPECIES
Sc 44.96 Sc.upf
Tl 204.38 Tl.upf
Na 22.99 Na.upf
CELL_PARAMETERS angstrom
-1.284 1.448 2.630
-3.932 -7.441 2.179
6.959 -2.310 4.669
ATOMIC_POSITIONS crystal
Sc 0.500 0.626 0.874
Sc 0.500 0.874 0.374
Sc 0.500 0.126 0.626
Sc 0.500 0.374 0.126
Tl 0.000 0.326 0.826
Tl 0.000 0.174 0.326
Tl 0.000 0.674 0.174
Tl 0.000 0.826 0.674
Na 0.000 0.000 0.000
Na 0.000 0.500 0.500

=====

What is the formula in the ninth record?
Na2ZrScTc